{
  "formula": "Pt2Rh",
  "functional": "GGA-PBE",
  "state": "relaxed",
  "lattice": [[5.192, 0.000, 0.000], [-2.596, 4.496, 0.000], [0.000, 0.000, 7.001]],
  "species": ["Pt", "Pt", "Pt", "Pt", "Pt", "Pt", "Rh", "Rh", "Rh"],
  "frac_coords": [[0.000, 0.433, 0.192], [0.000, 0.567, 0.808], [0.433, 0.000, 0.192], [0.433, 0.433, 0.808], [0.567, 0.000, 0.808], [0.567, 0.567, 0.192], [0.000, 0.000, 0.000], [0.333, 0.667, 0.500], [0.667, 0.333, 0.500]],
  "ef_ev_per_atom": 0.36,
  "sg": "P-31m (162)"
}



{
  "formula": "FeSiTcBi2",
  "functional": "GGA-PBE",
  "state": "relaxed",
  "lattice": [[5.021, 0.000, 0.000], [0.000, 5.021, 0.000], [0.000, 0.000, 4.511]],
  "species": ["Fe", "Si", "Tc", "Bi", "Bi"],
  "frac_coords": [[0.000, 0.000, 0.000], [0.500, 0.500, 0.500], [0.000, 0.000, 0.500], [0.000, 0.500, 0.000], [0.500, 0.000, 0.000]],
  "raw_formation_energy_ev_per_atom": 1.13,
  "sg": "P4/mmm (123)"
}



{
  "formula": "ScS",
  "functional": "GGA-PBE",
  "state": "relaxed",
  "lattice": [[5.220, 0.000, 0.000], [0.000, 5.220, 0.000], [0.000, 0.000, 5.220]],
  "species": ["Sc", "Sc", "Sc", "Sc", "S", "S", "S", "S"],
  "frac_coords": [[0.000, 0.000, 0.000], [0.000, 0.500, 0.500], [0.500, 0.000, 0.500], [0.500, 0.500, 0.000], [0.000, 0.000, 0.500], [0.000, 0.500, 0.000], [0.500, 0.000, 0.000], [0.500, 0.500, 0.500]],
  "raw_formation_energy_ev_per_atom": -1.87,
  "sg": "Fm-3m (225)"
}



{
  "formula": "Nd4Er5Tl",
  "functional": "GGA-PBE",
  "state": "relaxed",
  "lattice": [[4.128, 0.000, 0.000], [0.000, 4.128, 0.000], [0.000, 0.000, 18.502]],
  "species": ["Nd", "Nd", "Nd", "Nd", "Er", "Er", "Er", "Er", "Er", "Tl"],
  "frac_coords": [[0.000, 0.000, 0.103], [0.000, 0.000, 0.305], [0.000, 0.000, 0.695], [0.000, 0.000, 0.897], [0.500, 0.500, 0.000], [0.500, 0.500, 0.208], [0.500, 0.500, 0.412], [0.500, 0.500, 0.588], [0.500, 0.500, 0.792], [0.000, 0.000, 0.500]],
  "ef_ev_per_atom": 0.03,
  "e_above_lowest_polymorph_ev_per_atom": 0.000,
  "sg": "P4/mmm (123)"
}



no.,total DFT energy (no corrections) (Ry per atom),D(E_F) (states/eV/atom)
1,-0.4498,1.554
2,-0.3872,1.316
3,-0.5215,0.750
4,-0.3228,1.596